A | Here is crystalline IrRu2W at its relaxed geometry from the Alexandria database. Energies are from GGA-PBE.

```
4
Lattice="0.000 3.110 3.110 3.110 0.000 3.110 3.110 3.110 0.000" Properties=species:S:1:pos:R:3 pbc="T T T"
Ir 0.000 0.000 0.000
Ru 1.555 1.555 1.555
Ru 3.110 3.110 3.110
W 4.665 4.665 4.665
```

Values from the calculation:
Symmetry = F-43m (216)
Density of states at the Fermi level = 5.6 states/eV per cell


B | Here is crystalline IrRu2W at its relaxed geometry from the Alexandria database. Energies are from GGA-PBE.

```
4
Lattice="4.540 -1.374 0.000 4.540 1.374 0.000 -0.866 0.000 4.688" Properties=species:S:1:pos:R:3 pbc="T T T"
Ir 0.000 0.000 0.000
Ru 1.617 0.000 3.519
Ru 6.597 0.000 1.169
W 4.107 0.000 2.344
```

Values from the calculation:
Symmetry = C2/m (12)
Density of states at the Fermi level = 3.0 states/eV per cell


Tell me which of them is the least stable. Sure, it is A.


A | Here is crystalline ZnPbW2 at its relaxed geometry from the Alexandria database. Energies are from GGA-PBE.

```
4
Lattice="1.483 0.856 9.471 -1.483 0.856 9.471 0.000 -1.712 9.471" Properties=species:S:1:pos:R:3 pbc="T T T"
Zn 0.000 0.000 0.000
Pb 0.000 0.000 14.207
W 0.000 0.000 7.279
W 0.000 0.000 21.135
```

Values from the calculation:
Symmetry = R-3m (166)
Density of states at the Fermi level = 2.1 states/eV per cell


B | Here is crystalline ZnPbW2 at its relaxed geometry from the Alexandria database. Energies are from GGA-PBE.

```
4
Lattice="3.252 0.000 0.000 0.000 4.658 0.000 0.000 0.000 4.689" Properties=species:S:1:pos:R:3 pbc="T T T"
Zn 0.000 0.000 0.000
Pb 1.626 0.000 2.344
W 0.000 2.329 2.344
W 1.626 2.329 0.000
```

Values from the calculation:
Symmetry = Pmmm (47)
Density of states at the Fermi level = 2.5 states/eV per cell


Tell me which of them is the least stable. Sure, it is A.


A | Here is crystalline NiRu2 at its relaxed geometry from the Alexandria database. Energies are from GGA-PBE.

```
3
Lattice="2.672 0.000 0.000 -1.336 2.314 0.000 0.000 0.000 6.395" Properties=species:S:1:pos:R:3 pbc="T T T"
Ni 0.000 0.000 0.000
Ru 0.000 1.543 4.260
Ru 1.336 0.771 2.135
```

Values from the calculation:
Symmetry = P-3m1 (164)
Density of states at the Fermi level = 5.1 states/eV per cell


B | Here is crystalline NiRu2 at its relaxed geometry from the Alexandria database. Energies are from GGA-PBE.

```
6
Lattice="-1.319 1.319 11.586 1.319 -1.319 11.586 1.319 1.319 -11.586" Properties=species:S:1:pos:R:3 pbc="T T T"
Ni 1.319 0.659 2.897
Ni 0.000 0.659 8.690
Ru 1.319 -0.659 6.877
Ru 1.319 -0.659 10.503
Ru 0.000 1.978 1.084
Ru 0.000 1.978 4.710
```

Values from the calculation:
Symmetry = I4_1/amd (141)
Density of states at the Fermi level = 8.1 states/eV per cell


Tell me which of them is the least stable. Sure, it is B.